Record 1
A relaxed Zn2CrIr crystal, computed with PBE.

POSCAR file:
```
Zn2CrIr
1.0
8.979 -0.001 -0.001
8.569 2.683 -0.001
8.569 1.310 2.342
Cr Ir Zn
1 1 2
Direct
0.497 0.497 0.497
0.756 0.756 0.756
0.003 0.003 0.003
0.244 0.244 0.244
```

space-group type = R3m
formation energy = 0.00 eV per atom

Record 2
A relaxed SrIO2F crystal, computed with PBE.

POSCAR file:
```
SrIO2F
1.0
-1.029 4.301 -1.152
-3.549 -1.506 -2.453
-4.239 0.539 5.801
I Sr O F
1 1 2 1
Direct
0.000 0.000 0.500
0.000 0.000 0.000
0.000 0.500 0.000
0.500 0.000 0.000
0.500 0.500 0.500
```

space-group type = P4/mmm
formation energy without anion corrections = -384.7 meV/atom

Record 3
A relaxed ErScIn2 crystal, computed with PBE.

POSCAR file:
```
ErScIn2
1.0
-0.084 -3.517 -0.490
2.772 -1.653 -1.483
4.743 -3.018 7.976
Sc In Er
1 2 1
Direct
0.500 0.500 0.500
0.753 0.753 0.741
0.247 0.247 0.259
0.000 0.000 0.000
```

space-group type = R-3m
formation energy = -0.29 eV per atom

Number 1: magnetization 0.00 μB/f.u.. Number 2: magnetization 4.02 μB/f.u.. Number 3: magnetization 0.00 μB/f.u..